Entry 1:
A plane-wave DFT calculation with PBE was carried out for a relaxed Ni2BiN crystal.

Cell lengths 4.2403, 4.2403, 4.2403 Å; angles 60.00, 60.00, 60.00 degrees
With the nearest neighbours (Å) after each atom.
Fractional positions:
Ni: 0.2500 0.2500 0.2500  4 N 2.60, 4 Bi 2.60
Ni: 0.7500 0.7500 0.7500  4 Bi 2.60, 4 N 2.60
Bi: 0.0000 0.0000 0.0000  8 Ni 2.60
N: 0.5000 0.5000 0.5000  8 Ni 2.60

Space group: Fm-3m (225)
Formation energy from raw total energies: 1.028 eV per atom
DFT total energy: -4.91 eV/atom
Polymorph energy (0 for the lowest one): 0.885 eV/atom

Entry 2:
A plane-wave DFT calculation with PBE was carried out for a relaxed MnTlHg2 crystal.

Cell lengths 3.5407, 4.7094, 5.9933 Å; angles 90.00, 106.60, 90.00 degrees
With the nearest neighbours (Å) after each atom.
Fractional positions:
Mn: 0.0000 0.0000 0.0000  4 Hg 2.86, 2 Tl 3.00
Tl: 0.0000 0.0000 0.5000  2 Mn 3.00, 4 Hg 3.31
Hg: 0.3859 0.5000 0.2259  2 Mn 2.86, 2 Hg 3.04-3.15
Hg: 0.6141 0.5000 0.7741  2 Mn 2.86, 2 Hg 3.04-3.15

Space group: P2/m (10)
Formation energy from the elements: 310 meV/atom
DFT total energy: -2.73 eV/atom

Entry 3:
A plane-wave DFT calculation with PBE was carried out for a relaxed AsP2Au crystal.

Cell lengths 9.5591, 9.5591, 9.5591 Å; angles 17.40, 17.40, 17.40 degrees
With the nearest neighbours (Å) after each atom.
Fractional positions:
As: 0.0000 0.0000 0.0000  6 P 2.88, 6 As 2.89
P: 0.2500 0.2500 0.2500  3 As 2.88, 3 Au 2.89, 6 P 2.89
P: 0.7500 0.7500 0.7500  3 As 2.88, 3 Au 2.89, 6 P 2.89
Au: 0.5000 0.5000 0.5000  6 P 2.89, 6 Au 2.89

Space group: R-3m (166)
Formation energy from the elements: 617 meV/atom
DFT total energy: -4.07 eV/atom

Entry 4:
A plane-wave DFT calculation with PBE was carried out for a relaxed LiTl2Si crystal.

Cell lengths 9.1014, 9.1014, 9.1014 Å; angles 22.10, 22.10, 22.10 degrees
With the nearest neighbours (Å) after each atom.
Fractional positions:
Li: 0.0000 0.0000 0.0000  3 Si 2.69
Tl: 0.2488 0.2488 0.2488  3 Li 3.02
Tl: 0.4788 0.4788 0.4788  3 Si 2.91
Si: 0.7334 0.7334 0.7334  3 Li 2.69, 3 Tl 2.91

Space group: R3m (160)
Formation energy from raw total energies: 0.205 eV per atom
DFT total energy: -2.81 eV/atom
Polymorph energy (0 for the lowest one): 0.063 eV/atom

Entry 5:
A plane-wave DFT calculation with PBE was carried out for a relaxed BaRe2Ag crystal.

Cell lengths 10.4913, 10.4913, 10.4913 Å; angles 154.27, 154.27, 36.71 degrees
With the nearest neighbours (Å) after each atom.
Fractional positions:
Ba: 0.0000 0.0000 0.0000  4 Ag 3.30, 4 Re 3.45
Ba: 0.7500 0.2500 0.5000  4 Ag 3.30, 4 Re 3.45
Re: 0.3204 0.1250 0.6954  2 Re 2.39
Re: 0.3750 0.6796 0.8046  2 Re 2.39
Re: 0.4296 0.6250 0.3046  2 Re 2.39
Re: 0.8750 0.5704 0.1954  2 Re 2.39
Ag: 0.2500 0.7500 0.5000  4 Re 2.76
Ag: 0.5000 0.5000 0.0000  4 Re 2.76

Space group: I-42d (122)
Formation energy from the elements: 1234 meV/atom
DFT total energy: -6.18 eV/atom
Polymorph energy (0 for the lowest one): 0.703 eV/atom

Entry 6:
A plane-wave DFT calculation with PBE was carried out for a relaxed Pm3Y2Sc2 crystal.

Cell lengths 6.1125, 6.1125, 7.8135 Å; angles 97.43, 97.43, 48.15 degrees
With the nearest neighbours (Å) after each atom.
Fractional positions:
Pm: 0.0000 0.0000 0.0000  2 Sc 3.51, 6 Pm 3.53-3.59, 4 Y 3.57
Pm: 0.2881 0.2881 0.8464  3 Sc 3.42-3.47, 4 Y 3.51-3.61, 5 Pm 3.53-3.64
Pm: 0.7119 0.7119 0.1536  3 Sc 3.42-3.47, 4 Y 3.51-3.61, 5 Pm 3.53-3.64
Y: 0.4248 0.4248 0.2940  1 Y 3.41, 5 Sc 3.44-3.53, 6 Pm 3.51-3.61
Y: 0.5752 0.5752 0.7060  1 Y 3.41, 5 Sc 3.44-3.53, 6 Pm 3.51-3.61
Sc: 0.1415 0.1415 0.4315  4 Pm 3.42-3.51, 5 Y 3.44-3.53, 3 Sc 3.48-3.53
Sc: 0.8585 0.8585 0.5685  4 Pm 3.42-3.51, 5 Y 3.44-3.53, 3 Sc 3.48-3.53

Space group: C2/m (12)
Formation energy from the elements: 52 meV/atom
DFT total energy: -5.64 eV/atom
Polymorph energy (0 for the lowest one): 0.017 eV/atom

Entry 7:
A plane-wave DFT calculation with PBE was carried out for a relaxed SrLaB crystal.

Cell lengths 4.3216, 5.0567, 4.3382 Å; angles 90.00, 90.40, 90.00 degrees
With the nearest neighbours (Å) after each atom.
Fractional positions:
Sr: 0.0000 0.0000 0.0000  4 B 2.95-3.20
La: 0.4816 0.5000 0.5163  2 B 2.54
B: 0.5211 0.0000 0.4810  2 La 2.54

Space group: Pm (6)
Formation energy from the elements: 478 meV/atom
DFT total energy: -3.95 eV/atom
Polymorph energy (0 for the lowest one): 0.457 eV/atom

Entry 8:
A plane-wave DFT calculation with PBE was carried out for a relaxed PmNd3Ge2C crystal.

Cell lengths 8.6247, 8.6247, 8.6247 Å; angles 147.16, 146.99, 47.25 degrees
With the nearest neighbours (Å) after each atom.
Fractional positions:
Pm: 0.0000 0.0000 0.0000  2 C 2.44
Nd: 0.1704 0.6704 0.5000  1 C 2.69
Nd: 0.5000 0.5000 0.0000  2 C 2.45
Nd: 0.8296 0.3296 0.5000  1 C 2.69
Ge: 0.3645 0.8645 0.5000  3 Nd 3.07-3.25, 2 Pm 3.25
Ge: 0.6355 0.1355 0.5000  3 Nd 3.07-3.25, 2 Pm 3.25
C: 0.0000 0.5000 0.5000  2 Pm 2.44, 4 Nd 2.45-2.69

Space group: Immm (71)
Formation energy from the elements: -489 meV/atom
DFT total energy: -5.85 eV/atom